<a>
Material: SbIrBr2
Method: DFT, PBE
State: relaxed

Output
Symmetry: C2/m (12)

a b c (Å): 4.402 5.515 4.391
angles (deg): 69.67 82.71 110.41
Atoms (fractional coordinates):
Br (0.500, 0.000, 0.500)
Br (0.000, 0.000, 0.000)
Sb (0.500, 0.500, 0.000)
Ir (0.000, 0.500, 0.500)



<b>
Material: SbIrBr2
Method: DFT, PBE
State: relaxed

Output
Symmetry: Cmmm (65)

a b c (Å): 5.289 5.289 3.225
angles (deg): 90.00 90.00 104.94
Atoms (fractional coordinates):
Ir (0.500, 0.000, 0.500)
Sb (0.000, 0.500, 0.500)
Br (0.500, 0.500, 0.000)
Br (0.000, 0.000, 0.000)



From most stable to least stable, the computed energies give <a>, <b>.



<a>
Material: NdPH
Method: DFT, PBE
State: relaxed

Output
Symmetry: P-6m2 (187)

a b c (Å): 4.148 3.866 3.866
angles (deg): 120.00 90.00 90.00
Atoms (fractional coordinates):
Nd (0.166, 0.667, 0.333)
H (0.167, 0.000, 0.000)
P (0.666, 0.333, 0.667)



<b>
Material: NdPH
Method: DFT, PBE
State: relaxed

Output
Symmetry: Pnma (62)

a b c (Å): 4.298 5.937 8.173
angles (deg): 90.00 90.00 90.00
Atoms (fractional coordinates):
P (0.250, 0.247, 0.880)
P (0.750, 0.747, 0.620)
P (0.250, 0.253, 0.380)
P (0.750, 0.753, 0.120)
Nd (0.250, 0.750, 0.380)
Nd (0.750, 0.250, 0.620)
Nd (0.250, 0.750, 0.880)
Nd (0.750, 0.250, 0.120)
H (0.250, 0.387, 0.715)
H (0.250, 0.113, 0.215)
H (0.750, 0.887, 0.785)
H (0.750, 0.613, 0.285)



From most stable to least stable, the computed energies give <b>, <a>.



<a>
Material: BeSiP2
Method: DFT, PBE
State: relaxed

Output
Symmetry: P4/mmm (123)

a b c (Å): 4.508 4.506 2.556
angles (deg): 90.00 90.00 90.00
Atoms (fractional coordinates):
P (0.500, 0.500, 0.000)
P (0.000, 0.000, 0.000)
Be (0.000, 0.500, 0.500)
Si (0.500, 0.000, 0.500)



<b>
Material: BeSiP2
Method: DFT, PBE
State: relaxed

Output
Symmetry: P4mm (99)

a b c (Å): 2.574 2.574 8.586
angles (deg): 90.00 90.00 90.00
Atoms (fractional coordinates):
P (0.000, 0.000, 0.918)
P (0.500, 0.500, 0.309)
Be (0.500, 0.500, 0.736)
Si (0.000, 0.000, 0.537)



From most stable to least stable, the computed energies give <b>, <a>.



<a>
Material: TlSiSb2
Method: DFT, PBE
State: relaxed

Output
Symmetry: Imm2 (44)

a b c (Å): 7.026 7.026 7.026
angles (deg): 149.36 140.87 50.50
Atoms (fractional coordinates):
Si (0.513, 0.513, 0.000)
Sb (0.009, 0.009, 0.000)
Sb (0.674, 0.174, 0.500)
Tl (0.304, 0.804, 0.500)



<b>
Material: TlSiSb2
Method: DFT, PBE
State: relaxed

Output
Symmetry: P4mm (99)

a b c (Å): 3.956 3.952 7.190
angles (deg): 90.00 90.00 90.00
Atoms (fractional coordinates):
Sb (0.500, 0.500, 0.291)
Sb (0.000, 0.000, 0.039)
Tl (0.500, 0.500, 0.761)
Si (0.000, 0.000, 0.408)



From most stable to least stable, the computed energies give <a>, <b>.



<a>
Material: Sb2As
Method: DFT, PBE
State: relaxed

Output
Symmetry: Pnnm (58)

a b c (Å): 3.837 5.854 7.562
angles (deg): 90.00 90.00 90.00
Atoms (fractional coordinates):
Sb (0.000, 0.825, 0.364)
Sb (0.500, 0.675, 0.864)
Sb (0.500, 0.325, 0.136)
Sb (0.000, 0.175, 0.636)
As (0.000, 0.000, 0.000)
As (0.500, 0.500, 0.500)



<b>
Material: Sb2As
Method: DFT, PBE
State: relaxed

Output
Symmetry: Imma (74)

a b c (Å): 12.369 12.369 12.369
angles (deg): 163.60 161.98 24.46
Atoms (fractional coordinates):
Sb (0.206, 0.956, 0.250)
Sb (0.058, 0.808, 0.250)
Sb (0.942, 0.192, 0.750)
Sb (0.794, 0.044, 0.750)
As (0.392, 0.642, 0.750)
As (0.608, 0.358, 0.250)



From most stable to least stable, the computed energies give <a>, <b>.